w.
DFT (GGA-PBE) results for a relaxed NaNiAsSe2 crystal.

a = 5.0439 Å, b = 5.0439 Å, c = 4.3790 Å
α = 90.00°, β = 90.00°, γ = 90.00°
Fractional coordinates of all 5 atoms:
Na 0.0000 0.0000 0.0000
Ni 0.5000 0.5000 0.5000
As 0.5000 0.5000 0.0000
Se 0.0000 0.5000 0.5000
Se 0.5000 0.0000 0.5000

## Properties
Calculated volume: 111.4 Å³ per cell
Space-group type: P4/mmm
Magnetic moment: 0.00 Bohr magnetons per cell


x.
DFT (GGA-PBE) results for a relaxed NaNiAsSe2 crystal.

a = 5.0377 Å, b = 5.0377 Å, c = 4.9211 Å
α = 90.00°, β = 90.00°, γ = 90.00°
Fractional coordinates of all 5 atoms:
Na 0.0000 0.0000 0.0000
Ni 0.5000 0.5000 0.5000
As 0.0000 0.0000 0.5000
Se 0.0000 0.5000 0.0000
Se 0.5000 0.0000 0.0000

## Properties
Calculated volume: 124.9 Å³ per cell
Space-group type: P4/mmm
Magnetic moment: 1.19 Bohr magnetons per cell


How far above the most stable structure does each one sit? In meV per atom: w 0; x 1282.


w.
DFT (GGA-PBE) results for a relaxed Na2AsO4 crystal.

a = 7.8678 Å, b = 7.3300 Å, c = 7.3243 Å
α = 64.95°, β = 57.56°, γ = 57.49°
Fractional coordinates of all 14 atoms:
Na 0.2094 0.7906 0.2094
Na 0.2110 0.2110 0.7890
Na 0.7890 0.7890 0.2110
Na 0.7906 0.2094 0.7906
As 0.2500 0.2500 0.2500
As 0.7500 0.7500 0.7500
O 0.1462 0.1753 0.5326
O 0.1458 0.5326 0.1753
O 0.1753 0.1462 0.1458
O 0.4674 0.8542 0.8538
O 0.5326 0.1458 0.1462
O 0.8247 0.8538 0.8542
O 0.8542 0.4674 0.8247
O 0.8538 0.8247 0.4674

## Properties
Calculated volume: 295.2 Å³ per cell
Space-group type: Fmmm
Magnetic moment: 2.11 Bohr magnetons per cell


x.
DFT (GGA-PBE) results for a relaxed Na2AsO4 crystal.

a = 10.7455 Å, b = 2.8695 Å, c = 6.1941 Å
α = 90.00°, β = 120.46°, γ = 90.00°
Fractional coordinates of all 14 atoms:
Na 0.1536 0.0000 0.1754
Na 0.3464 0.5000 0.8246
Na 0.6536 0.5000 0.1754
Na 0.8464 0.0000 0.8246
As 0.0000 0.5000 0.5000
As 0.5000 0.0000 0.5000
O 0.0312 0.5000 0.8134
O 0.1368 0.0000 0.5845
O 0.3632 0.5000 0.4155
O 0.4688 0.0000 0.1866
O 0.5312 0.0000 0.8134
O 0.6368 0.5000 0.5845
O 0.8632 0.0000 0.4155
O 0.9688 0.5000 0.1866

## Properties
Calculated volume: 164.6 Å³ per cell
Space-group type: C2/m
Magnetic moment: 2.02 Bohr magnetons per cell


How far above the most stable structure does each one sit? In meV per atom: w 0; x 24.


w.
DFT (GGA-PBE) results for a relaxed Na2AsO crystal.

a = 6.6498 Å, b = 6.6498 Å, c = 6.6498 Å
α = 90.00°, β = 90.00°, γ = 90.00°
Fractional coordinates of all 16 atoms:
Na 0.2500 0.2500 0.2500
Na 0.2500 0.2500 0.7500
Na 0.2500 0.7500 0.2500
Na 0.2500 0.7500 0.7500
Na 0.7500 0.2500 0.2500
Na 0.7500 0.2500 0.7500
Na 0.7500 0.7500 0.2500
Na 0.7500 0.7500 0.7500
As 0.0000 0.0000 0.0000
As 0.0000 0.5000 0.5000
As 0.5000 0.0000 0.5000
As 0.5000 0.5000 0.0000
O 0.0000 0.0000 0.5000
O 0.0000 0.5000 0.0000
O 0.5000 0.0000 0.0000
O 0.5000 0.5000 0.5000

## Properties
Calculated volume: 294.0 Å³ per cell
Space-group type: Fm-3m
Magnetic moment: 6.53 Bohr magnetons per cell


x.
DFT (GGA-PBE) results for a relaxed Na2AsO crystal.

a = 9.1272 Å, b = 9.1272 Å, c = 4.2005 Å
α = 90.00°, β = 90.00°, γ = 90.00°
Fractional coordinates of all 16 atoms:
Na 0.0673 0.7500 0.1250
Na 0.2500 0.0673 0.8750
Na 0.2500 0.4327 0.3750
Na 0.4327 0.7500 0.6250
Na 0.5673 0.2500 0.6250
Na 0.7500 0.5673 0.3750
Na 0.7500 0.9327 0.8750
Na 0.9327 0.2500 0.1250
As 0.0000 0.0000 0.5000
As 0.0000 0.5000 0.7500
As 0.5000 0.0000 0.2500
As 0.5000 0.5000 0.0000
O 0.0000 0.0000 0.0000
O 0.0000 0.5000 0.2500
O 0.5000 0.0000 0.7500
O 0.5000 0.5000 0.5000

## Properties
Calculated volume: 349.9 Å³ per cell
Space-group type: I-42d
Magnetic moment: 0.00 Bohr magnetons per cell


How far above the most stable structure does each one sit? In meV per atom: w 560; x 0.


w.
DFT (GGA-PBE) results for a relaxed NaAsPO2 crystal.

a = 3.9038 Å, b = 3.9038 Å, c = 4.8819 Å
α = 90.00°, β = 90.00°, γ = 90.00°
Fractional coordinates of all 5 atoms:
Na 0.0000 0.0000 0.0000
As 0.5000 0.5000 0.5000
P 0.5000 0.5000 0.0000
O 0.0000 0.5000 0.5000
O 0.5000 0.0000 0.5000

## Properties
Calculated volume: 74.4 Å³ per cell
Space-group type: P4/mmm
Magnetic moment: 1.52 Bohr magnetons per cell


x.
DFT (GGA-PBE) results for a relaxed NaAsPO2 crystal.

a = 4.0086 Å, b = 4.0086 Å, c = 5.3832 Å
α = 90.00°, β = 90.00°, γ = 90.00°
Fractional coordinates of all 5 atoms:
Na 0.0000 0.0000 0.0000
As 0.5000 0.5000 0.5000
P 0.0000 0.0000 0.5000
O 0.0000 0.5000 0.0000
O 0.5000 0.0000 0.0000

## Properties
Calculated volume: 86.5 Å³ per cell
Space-group type: P4/mmm
Magnetic moment: 2.77 Bohr magnetons per cell


How far above the most stable structure does each one sit? In meV per atom: w 0; x 1076.